Computed, not measured: crystalline AcDyMg at its relaxed geometry at the PBE-GGA level of DFT.

Structure (POSCAR):
```
AcDyMg
1.0
0.000 3.898 3.898
3.898 0.000 3.898
3.898 3.898 0.000
Mg Ac Dy
1 1 1
direct
0.750 0.750 0.750
0.000 0.000 0.000
0.250 0.250 0.250
```

- DFT total energy: -2.670 eV per atom
- Magnetic moment: 0.01 μB/f.u.
- Space-group type: F-43m (216)

***

Computed, not measured: crystalline ErSbPO at its relaxed geometry at the PBE-GGA level of DFT.

Structure (POSCAR):
```
ErSbPO
1.0
2.838 -2.838 0.000
2.838 2.838 0.000
0.000 0.000 9.981
Sb P Er O
2 2 2 2
direct
0.750 0.250 0.500
0.250 0.750 0.500
0.750 0.750 0.270
0.250 0.250 0.730
0.250 0.250 0.102
0.750 0.750 0.898
0.250 0.750 0.000
0.750 0.250 0.000
```

- DFT total energy: -6.064 eV per atom
- Magnetic moment: 0.01 μB/f.u.
- Space-group type: P4/nmm (129)

***

Computed, not measured: crystalline CdFeB4 at its relaxed geometry at the PBE-GGA level of DFT.

Structure (POSCAR):
```
CdFeB4
1.0
-2.916 -0.748 -0.133
1.892 -0.925 -2.155
1.391 -6.108 3.842
B Fe Cd
4 1 1
direct
0.333 0.667 0.796
0.667 0.333 0.796
0.667 0.333 0.204
0.333 0.667 0.204
0.000 0.000 0.000
0.000 0.000 0.500
```

- DFT total energy: -5.732 eV per atom
- Magnetic moment: 2.43 μB/f.u.
- Space-group type: P6/mmm (191)

***

Computed, not measured: crystalline TlCoCuPt at its relaxed geometry at the PBE-GGA level of DFT.

Structure (POSCAR):
```
TlCoCuPt
1.0
0.000 3.123 3.123
3.123 0.000 3.123
3.123 3.123 0.000
Pt Co Cu Tl
1 1 1 1
direct
0.500 0.500 0.500
0.750 0.750 0.750
0.250 0.250 0.250
0.000 0.000 0.000
```

- DFT total energy: -4.575 eV per atom
- Magnetic moment: 1.44 μB/f.u.
- Space-group type: F-43m (216)